This record from Alexandria describes an optimized crystal structure of La2PmSmPt2. The functional is GGA-PBE.

```
La2PmSmPt2
1.0
7.947 -3.506 0.000
7.947 3.506 0.000
-3.074 0.000 6.302
La Pm Sm Pt
4 2 2 4
Direct
0.193 0.193 0.421
0.307 0.307 0.035
0.693 0.693 0.965
0.807 0.807 0.579
0.250 0.750 0.500
0.750 0.250 0.500
0.250 0.750 0.000
0.750 0.250 0.000
0.111 0.111 0.867
0.389 0.389 0.648
0.611 0.611 0.352
0.889 0.889 0.133
```

Output
Mass density in Mg/m³: 9.11
Formation enthalpy at 0 K in eV/f.u.: -4.77
D(E_F) in states/eV per atom: 1.15
VASP energy in hartree per atom: -0.2216

This record from Alexandria describes an optimized crystal structure of La2PmSn3Pt4. The functional is GGA-PBE.

```
La2PmSn3Pt4
1.0
4.662 0.000 0.000
0.000 4.662 0.000
0.000 0.000 11.194
La Pm Sn Pt
2 1 3 4
Direct
0.000 0.500 0.219
0.500 0.000 0.781
0.000 0.000 0.500
0.000 0.500 0.879
0.500 0.000 0.121
0.500 0.500 0.500
0.000 0.000 0.000
0.000 0.500 0.646
0.500 0.000 0.354
0.500 0.500 0.000
```

Output
Mass density in Mg/m³: 10.64
Formation enthalpy at 0 K in eV/f.u.: -9.31
D(E_F) in states/eV per atom: 0.72
VASP energy in hartree per atom: -0.2208

This record from Alexandria describes an optimized crystal structure of LaPmTh2Pt4. The functional is GGA-PBE.

```
LaPmTh2Pt4
1.0
0.000 5.971 4.193
4.193 0.000 4.193
4.193 5.971 0.000
La Pm Th Pt
1 1 2 4
Direct
0.000 0.000 0.000
0.499 0.499 0.501
0.250 0.250 0.250
0.750 0.750 0.750
0.252 0.748 0.252
0.500 0.999 0.500
0.748 0.252 0.748
0.999 0.500 0.001
```

Output
Mass density in Mg/m³: 12.09
Formation enthalpy at 0 K in eV/f.u.: -9.37
D(E_F) in states/eV per atom: 0.38
VASP energy in hartree per atom: -0.2667

This record from Alexandria describes an optimized crystal structure of LaPmZnPt. The functional is GGA-PBE.

```
LaPmZnPt
1.0
4.587 0.000 0.000
0.000 2.016 5.519
0.000 -2.016 5.519
La Pm Zn Pt
1 1 1 1
Direct
0.000 0.000 0.000
0.500 0.721 0.721
0.500 0.432 0.432
0.000 0.288 0.288
```

Output
Mass density in Mg/m³: 8.86
Formation enthalpy at 0 K in eV/f.u.: -2.91
D(E_F) in states/eV per atom: 0.89
E above lowest polymorph in eV per atom: 0.0000
VASP energy in hartree per atom: -0.1829

This record from Alexandria describes an optimized crystal structure of LaPmZnPt. The functional is GGA-PBE.

```
LaPmZnPt
1.0
0.000 3.665 3.665
3.665 0.000 3.665
3.665 3.665 0.000
La Pm Zn Pt
1 1 1 1
Direct
0.000 0.000 0.000
0.500 0.500 0.500
0.750 0.750 0.750
0.250 0.250 0.250
```

Output
Mass density in Mg/m³: 9.18
Formation enthalpy at 0 K in eV/f.u.: -2.71
D(E_F) in states/eV per atom: 0.80
E above lowest polymorph in eV per atom: 0.0513
VASP energy in hartree per atom: -0.1810

This record from Alexandria describes an optimized crystal structure of La10Pm4Pu. The functional is GGA-PBE.

```
La10Pm4Pu
1.0
-5.926 5.926 3.721
5.926 -5.926 3.721
5.926 5.926 -3.721
La Pm Pu
10 4 1
Direct
0.033 0.237 0.796
0.237 0.033 0.796
0.237 0.441 0.204
0.250 0.750 0.500
0.441 0.237 0.204
0.559 0.763 0.796
0.750 0.250 0.500
0.763 0.559 0.796
0.763 0.967 0.204
0.967 0.763 0.204
0.259 0.259 0.519
0.259 0.741 0.000
0.741 0.259 0.000
0.741 0.741 0.481
0.500 0.500 0.000
```

Output
Mass density in Mg/m³: 7.03
Formation enthalpy at 0 K in eV/f.u.: 4.95
D(E_F) in states/eV per atom: 2.00
VASP energy in hartree per atom: -0.1903